Density functional theory data (PBE) for a relaxed PmTlAuSe2 crystal.

a b c (Å): 7.386 5.272 8.056
angles (deg): 90.00 102.66 90.00
Fractional coordinates of all 10 atoms:
Pm 0.000 0.003 0.250
Pm 0.000 0.997 0.750
Tl 0.500 0.324 0.750
Tl 0.500 0.676 0.250
Au 0.000 0.500 0.000
Au 0.000 0.500 0.500
Se 0.261 0.176 0.051
Se 0.261 0.824 0.551
Se 0.739 0.176 0.449
Se 0.739 0.824 0.949

Values from the calculation:
spin magnetization = 0.00 Bohr magnetons per cell
ΔE_f (raw) = -0.81 eV per atom
SG = No. 13

Density functional theory data (PBE) for a relaxed Pm6Si3Au crystal.

a b c (Å): 7.047 8.080 12.217
angles (deg): 90.00 123.21 90.00
Fractional coordinates of all 20 atoms:
Pm 0.061 0.074 0.246
Pm 0.061 0.426 0.746
Pm 0.222 0.682 0.072
Pm 0.222 0.818 0.572
Pm 0.404 0.174 0.071
Pm 0.404 0.326 0.571
Pm 0.596 0.674 0.429
Pm 0.596 0.826 0.929
Pm 0.778 0.182 0.428
Pm 0.778 0.318 0.928
Pm 0.939 0.574 0.254
Pm 0.939 0.926 0.754
Si 0.000 0.000 0.000
Si 0.000 0.500 0.500
Si 0.312 0.116 0.757
Si 0.312 0.384 0.257
Si 0.688 0.616 0.743
Si 0.688 0.884 0.243
Au 0.500 0.000 0.500
Au 0.500 0.500 0.000

Values from the calculation:
spin magnetization = 0.00 Bohr magnetons per cell
ΔE_f (raw) = -0.48 eV per atom
SG = No. 14

Density functional theory data (PBE) for a relaxed PmSi2Au crystal.

a b c (Å): 13.749 4.283 10.734
angles (deg): 90.00 90.00 90.00
Fractional coordinates of all 32 atoms:
Pm 0.048 0.250 0.247
Pm 0.194 0.750 0.971
Pm 0.306 0.250 0.471
Pm 0.452 0.750 0.747
Pm 0.548 0.250 0.253
Pm 0.694 0.750 0.529
Pm 0.806 0.250 0.029
Pm 0.952 0.750 0.753
Si 0.024 0.250 0.960
Si 0.114 0.250 0.777
Si 0.133 0.750 0.468
Si 0.210 0.750 0.274
Si 0.290 0.250 0.774
Si 0.367 0.250 0.968
Si 0.386 0.750 0.277
Si 0.476 0.750 0.460
Si 0.524 0.250 0.540
Si 0.614 0.250 0.723
Si 0.633 0.750 0.032
Si 0.710 0.750 0.226
Si 0.790 0.250 0.726
Si 0.867 0.250 0.532
Si 0.886 0.750 0.223
Si 0.976 0.750 0.040
Au 0.060 0.250 0.555
Au 0.229 0.750 0.672
Au 0.271 0.250 0.172
Au 0.440 0.750 0.055
Au 0.560 0.250 0.945
Au 0.729 0.750 0.828
Au 0.771 0.250 0.328
Au 0.940 0.750 0.445

Values from the calculation:
spin magnetization = 0.00 Bohr magnetons per cell
ΔE_f (raw) = -0.61 eV per atom
SG = No. 62

Density functional theory data (PBE) for a relaxed PmSi2Au crystal.

a b c (Å): 4.394 4.394 4.068
angles (deg): 90.00 90.00 90.00
Fractional coordinates of all 4 atoms:
Pm 0.000 0.000 0.000
Si 0.000 0.500 0.500
Si 0.500 0.000 0.500
Au 0.500 0.500 0.000

Values from the calculation:
spin magnetization = 0.00 Bohr magnetons per cell
ΔE_f (raw) = -0.31 eV per atom
SG = No. 123

Density functional theory data (PBE) for a relaxed Pm3SiAu crystal.

a b c (Å): 12.213 5.804 7.982
angles (deg): 90.00 103.00 90.00
Fractional coordinates of all 20 atoms:
Pm 0.087 0.117 0.350
Pm 0.087 0.383 0.850
Pm 0.236 0.606 0.249
Pm 0.236 0.894 0.749
Pm 0.407 0.107 0.154
Pm 0.407 0.393 0.654
Pm 0.593 0.607 0.346
Pm 0.593 0.893 0.846
Pm 0.764 0.106 0.251
Pm 0.764 0.394 0.751
Pm 0.913 0.617 0.150
Pm 0.913 0.883 0.650
Si 0.081 0.616 0.490
Si 0.081 0.884 0.990
Si 0.919 0.116 0.010
Si 0.919 0.384 0.510
Au 0.395 0.609 0.006
Au 0.395 0.891 0.506
Au 0.605 0.109 0.494
Au 0.605 0.391 0.994

Values from the calculation:
spin magnetization = 0.00 Bohr magnetons per cell
ΔE_f (raw) = -0.57 eV per atom
SG = No. 14

Density functional theory data (PBE) for a relaxed Pm2Si3Au5 crystal.

a b c (Å): 4.331 4.331 10.806
angles (deg): 90.00 90.00 90.00
Fractional coordinates of all 10 atoms:
Pm 0.000 0.500 0.245
Pm 0.500 0.000 0.755
Si 0.000 0.000 0.000
Si 0.000 0.500 0.882
Si 0.500 0.000 0.118
Au 0.000 0.000 0.500
Au 0.000 0.500 0.665
Au 0.500 0.000 0.335
Au 0.500 0.500 0.000
Au 0.500 0.500 0.500

Values from the calculation:
spin magnetization = 0.00 Bohr magnetons per cell
ΔE_f (raw) = -0.44 eV per atom
SG = No. 115

Density functional theory data (PBE) for a relaxed PmSiAu2 crystal.

a b c (Å): 5.891 5.891 5.891
angles (deg): 42.95 42.95 42.95
Fractional coordinates of all 4 atoms:
Pm 0.000 0.000 0.000
Si 0.500 0.500 0.500
Au 0.220 0.220 0.220
Au 0.780 0.780 0.780

Values from the calculation:
spin magnetization = 0.00 Bohr magnetons per cell
ΔE_f (raw) = -0.52 eV per atom
SG = No. 166

Density functional theory data (PBE) for a relaxed Pm12Si7Au crystal.

a b c (Å): 8.959 8.959 8.959
angles (deg): 109.34 109.34 109.34
Fractional coordinates of all 20 atoms:
Pm 0.095 0.315 0.400
Pm 0.132 0.657 0.274
Pm 0.274 0.132 0.657
Pm 0.315 0.400 0.095
Pm 0.343 0.726 0.868
Pm 0.400 0.095 0.315
Pm 0.600 0.905 0.685
Pm 0.657 0.274 0.132
Pm 0.685 0.600 0.905
Pm 0.726 0.868 0.343
Pm 0.868 0.343 0.726
Pm 0.905 0.685 0.600
Si 0.024 0.931 0.261
Si 0.069 0.739 0.976
Si 0.261 0.024 0.931
Si 0.500 0.500 0.500
Si 0.739 0.976 0.069
Si 0.931 0.261 0.024
Si 0.976 0.069 0.739
Au 0.000 0.000 0.000

Values from the calculation:
spin magnetization = 0.00 Bohr magnetons per cell
ΔE_f (raw) = -0.42 eV per atom
SG = No. 148